Below is a relaxed ErCu2Te3 crystal, with properties calculated at the PBE level.

The structure in extended XYZ format:
```
12
Lattice="4.132 0.000 0.000 0.000 7.629 0.162 0.000 -2.958 10.719" Properties=species:S:1:pos:R:3 pbc="T T T"
Er 3.099 -0.351 7.500
Er 1.033 5.022 3.381
Cu 3.099 4.156 1.001
Cu 1.033 0.515 9.880
Cu 1.033 5.565 6.378
Cu 3.099 -0.894 4.503
Te 3.099 2.049 9.240
Te 1.033 -1.995 8.868
Te 1.033 2.622 1.642
Te 3.099 4.151 5.598
Te 3.099 6.666 2.013
Te 1.033 0.520 5.283
```

N(E_F), states/eV/cell: 4.96
Uncorrected energy, eV per formula unit: -25.657
SG: P2_1/m, No. 11
ΔE_f (raw), eV per atom: -0.5795

=====

Below is a relaxed ErCuTe crystal, with properties calculated at the PBE level.

The structure in extended XYZ format:
```
12
Lattice="6.338 0.317 0.260 2.494 7.083 0.367 2.487 1.808 6.863" Properties=species:S:1:pos:R:3 pbc="T T T"
Er 7.094 2.134 5.780
Er 4.221 4.436 4.957
Er 4.224 7.074 1.709
Er 7.098 4.772 2.533
Te 2.790 2.267 3.193
Te 8.529 6.941 4.297
Te 6.038 2.496 0.682
Te 5.280 6.712 6.808
Cu 4.338 4.244 2.109
Cu 6.983 7.602 2.133
Cu 4.335 1.606 5.356
Cu 6.980 4.964 5.381
```

N(E_F), states/eV/cell: 1.65
Uncorrected energy, eV per formula unit: -13.662
SG: P-1, No. 2
ΔE_f (raw), eV per atom: -0.6204